The following is a DFT calculation (PBE) of a geometry-optimized AsIrSN2 structure.

Calculated values
Its space group is P4/mmm (123). Its excess energy over the best structure of this formula in the dataset is 0 meV/atom. Its spin magnetization is 1.17 μB per formula unit.

a = 3.759 Å, b = 3.759 Å, c = 5.572 Å
α = 90.00°, β = 90.00°, γ = 90.00°
Positions (direct):
As  0.000  0.000  0.000
Ir  0.500  0.500  0.500
S  0.500  0.500  0.000
N  0.000  0.500  0.500
N  0.500  0.000  0.500

The following is a DFT calculation (PBE) of a geometry-optimized ZrTaTc2 structure.

Calculated values
Its space group is I-4m2 (119). Its spin magnetization is 0.00 μB per formula unit. Its energy relative to the elements is -0.04 eV per atom.

a = 3.805 Å, b = 3.805 Å, c = 9.623 Å
α = 90.00°, β = 90.00°, γ = 90.00°
Positions (direct):
Zr  0.000  0.000  0.000
Zr  0.500  0.500  0.500
Ta  0.000  0.500  0.750
Ta  0.500  0.000  0.250
Tc  0.000  0.000  0.500
Tc  0.000  0.500  0.250
Tc  0.500  0.000  0.750
Tc  0.500  0.500  0.000

The following is a DFT calculation (PBE) of a geometry-optimized TbPr2Ho3 structure.

Calculated values
Its space group is C2/m (12). Its excess energy over the best structure of this formula in the dataset is 0 meV/atom. Its spin magnetization is 0.00 μB per formula unit. Its energy relative to the elements is 0.10 eV per atom.

a = 8.980 Å, b = 8.980 Å, c = 10.155 Å
α = 122.67°, β = 122.67°, γ = 36.20°
Positions (direct):
Tb  0.134  0.134  0.143
Tb  0.866  0.866  0.857
Pr  0.228  0.228  0.869
Pr  0.489  0.489  0.140
Pr  0.511  0.511  0.860
Pr  0.772  0.772  0.131
Ho  0.051  0.051  0.398
Ho  0.293  0.293  0.576
Ho  0.388  0.388  0.346
Ho  0.612  0.612  0.654
Ho  0.707  0.707  0.424
Ho  0.949  0.949  0.602

For reference, final energy by record: -0.216 -0.379 -0.167 Ha/atom.